No. 1
Density functional theory data (PBE-GGA) for a relaxed structure of CuBiMo2.

Unit cell a=10.3430 b=10.3430 c=10.3430 alpha=158.31 beta=158.31 gamma=30.86
Closest atoms and distances in Å follow each position.
Fractional coordinates of all 8 atoms:
Cu1 0.0000 0.0000 0.0000  4 Bi 2.75, 4 Mo 2.78
Cu2 0.7500 0.2500 0.5000  4 Bi 2.75, 4 Mo 2.78
Bi1 0.2500 0.7500 0.5000  4 Cu 2.75, 4 Mo 2.93
Bi2 0.5000 0.5000 0.0000  4 Cu 2.75, 4 Mo 2.93
Mo1 0.0712 0.6250 0.9462  2 Mo 2.47
Mo2 0.3750 0.3212 0.4462  2 Mo 2.47
Mo3 0.6788 0.1250 0.0538  2 Mo 2.47
Mo4 0.8750 0.9288 0.5538  2 Mo 2.47

Summary:
SG: No. 122
Fermi-level density of states, states/eV/atom: 0.6667
Size of the total moment, Bohr magnetons per cell: 0.00
V, A^3/atom: 18.877
Formation energy, kJ/mol of atoms: 68.2

***

No. 2
Density functional theory data (PBE-GGA) for a relaxed structure of Ce3ZnCo.

Unit cell a=6.0783 b=6.0783 c=8.4439 alpha=97.68 beta=97.68 gamma=45.53
Closest atoms and distances in Å follow each position.
Fractional coordinates of all 10 atoms:
Ce1 0.0516 0.0516 0.3145  2 Co 2.82-3.04, 2 Ce 3.10, 2 Zn 3.13
Ce2 0.2728 0.2728 0.7175  3 Ce 2.81-3.10, 3 Zn 3.07-3.10
Ce3 0.3744 0.3744 0.0417  2 Co 2.39
Ce4 0.6256 0.6256 0.9583  2 Co 2.39
Ce5 0.7272 0.7272 0.2825  3 Ce 2.81-3.10, 3 Zn 3.07-3.10
Ce6 0.9484 0.9484 0.6855  2 Co 2.82-3.04, 2 Ce 3.10, 2 Zn 3.13
Zn1 0.3930 0.3930 0.4133  1 Zn 2.62
Zn2 0.6070 0.6070 0.5867  1 Zn 2.62
Co1 0.1143 0.1143 0.0034  2 Ce 2.39, 1 Co 2.56
Co2 0.8857 0.8857 0.9966  2 Ce 2.39, 1 Co 2.56

Summary:
SG: No. 12
Fermi-level density of states, states/eV/atom: 1.8962
Energy above the lowest structure with this stoichiometry, eV per formula unit: 0.000
Size of the total moment, Bohr magnetons per cell: 1.20
V, A^3/atom: 22.029
Formation energy, kJ/mol of atoms: -16.1

***

No. 3
Density functional theory data (PBE-GGA) for a relaxed structure of Sm6Ho3Th.

Unit cell a=13.1859 b=3.5406 c=14.4367 alpha=90.00 beta=100.59 gamma=90.00
Closest atoms and distances in Å follow each position.
Fractional coordinates of all 20 atoms:
Sm1 0.9998 0.2500 0.1901  4 Ho 3.43, 7 Sm 3.53-3.63
Sm2 0.0002 0.7500 0.8099  4 Ho 3.43, 7 Sm 3.53-3.63
Sm3 0.1544 0.7500 0.3801  4 Ho 3.45-3.60, 8 Sm 3.54-3.67
Sm4 0.2288 0.2500 0.7980  3 Ho 3.47-3.67, 7 Sm 3.52-3.82, 2 Th 3.63
Sm5 0.2784 0.2500 0.2131  3 Ho 3.34-3.50, 1 Th 3.37, 5 Sm 3.54-3.63
Sm6 0.3103 0.2500 0.5793  5 Ho 3.44-3.69, 5 Sm 3.52-3.67, 2 Th 3.64
Sm7 0.3774 0.7500 0.0157  8 Sm 3.54-3.82, 2 Ho 3.75, 3 Th 3.76-3.82
Sm8 0.6226 0.2500 0.9843  8 Sm 3.54-3.82, 2 Ho 3.75, 3 Th 3.76-3.82
Sm9 0.6897 0.7500 0.4207  5 Ho 3.44-3.69, 5 Sm 3.52-3.67, 2 Th 3.64
Sm10 0.7216 0.7500 0.7869  3 Ho 3.34-3.50, 1 Th 3.37, 5 Sm 3.54-3.63
Sm11 0.7712 0.7500 0.2020  3 Ho 3.47-3.67, 7 Sm 3.52-3.82, 2 Th 3.63
Sm12 0.8456 0.2500 0.6199  4 Ho 3.45-3.60, 8 Sm 3.54-3.67
Ho1 0.0775 0.7500 0.5960  8 Sm 3.43-3.67, 4 Ho 3.54-3.59
Ho2 0.1244 0.2500 0.0014  5 Sm 3.34-3.47, 4 Ho 3.54-3.72
Ho3 0.4259 0.7500 0.4001  6 Sm 3.44-3.69, 4 Ho 3.54-3.63, 2 Th 3.63
Ho4 0.5741 0.2500 0.5999  6 Sm 3.44-3.69, 4 Ho 3.54-3.63, 2 Th 3.63
Ho5 0.8756 0.7500 0.9986  5 Sm 3.34-3.47, 4 Ho 3.54-3.72
Ho6 0.9225 0.2500 0.4040  8 Sm 3.43-3.67, 4 Ho 3.54-3.59
Th1 0.4642 0.7500 0.7772  7 Sm 3.37-3.76, 2 Th 3.54, 2 Ho 3.63
Th2 0.5358 0.2500 0.2228  7 Sm 3.37-3.76, 2 Th 3.54, 2 Ho 3.63

Summary:
SG: No. 11
Fermi-level density of states, states/eV/atom: 1.4526
Energy above the lowest structure with this stoichiometry, eV per formula unit: 0.000
Size of the total moment, Bohr magnetons per cell: 0.00
V, A^3/atom: 33.125
Formation energy, kJ/mol of atoms: 7.8

***

No. 4
Density functional theory data (PBE-GGA) for a relaxed structure of SrCdAu2.

Unit cell a=10.0054 b=10.0054 c=10.0054 alpha=150.30 beta=150.30 gamma=42.50
Closest atoms and distances in Å follow each position.
Fractional coordinates of all 8 atoms:
Sr1 0.0000 0.0000 0.0000  4 Au 3.30, 4 Cd 3.63
Sr2 0.7500 0.2500 0.5000  4 Au 3.30, 4 Cd 3.63
Cd1 0.2500 0.7500 0.5000  4 Au 2.73
Cd2 0.5000 0.5000 0.0000  4 Au 2.73
Au1 0.2546 0.6250 0.1296  2 Cd 2.73, 2 Au 2.85
Au2 0.3750 0.5046 0.6296  2 Cd 2.73, 2 Au 2.85
Au3 0.4954 0.1250 0.8704  2 Cd 2.73, 2 Au 2.85
Au4 0.8750 0.7454 0.3704  2 Cd 2.73, 2 Au 2.85

Summary:
SG: No. 122
Fermi-level density of states, states/eV/atom: 0.4941
Size of the total moment, Bohr magnetons per cell: 0.00
V, A^3/atom: 30.656
Formation energy, kJ/mol of atoms: -29.6

***

- Which value of Fermi-level density of states does entry 1 give?
  0.6667 states/eV/atom

***

- Which of these has the lowest V?
  CuBiMo2